Entry 1:
Entry from Alexandria: a relaxed structure of SrCuSb3 (PBE-GGA).

The space group is Pm-3m (No. 221) and the conventional cell measures 5.241, 5.241 and 5.241 Å, with angles of 90.00, 90.00 and 90.00 degrees. The distinct sites, in fractional coordinates, are Sr at (0.000, 0.000, 0.000), Cu at (0.500, 0.500, 0.500) and Sb at (0.000, 0.500, 0.500).

The calculation puts the uncorrected formation energy at -132 meV/atom. The offset from the most stable computed form comes out at 0.0 meV/atom.

---

Entry 2:
Entry from Alexandria: a relaxed structure of TaW2Au (PBE-GGA).

The space group is P4/mmm (No. 123) and the conventional cell measures 3.354, 3.354 and 6.026 Å, with angles of 90.00, 90.00 and 90.00 degrees. The distinct sites, in fractional coordinates, are Ta at (0.000, 0.000, 0.000), W at (0.500, 0.500, 0.245) and Au at (0.000, 0.000, 0.500).

The offset from the most stable computed form comes out at 181.6 meV/atom. The value obtained for the formation enthalpy at 0 K is 280 meV/atom.

---

Entry 3:
Entry from Alexandria: a relaxed structure of HgBi4Mo2 (PBE-GGA).

The space group is I4/mmm (No. 139) and the conventional cell measures 5.649, 5.649 and 14.513 Å, with angles of 90.00, 90.00 and 90.00 degrees. The distinct sites, in fractional coordinates, are Hg at (0.000, 0.000, 0.000), Bi at (0.000, 0.000, 0.228), Bi at (0.000, 0.500, 0.000) and Mo at (0.000, 0.000, 0.423).

The value obtained for the formation enthalpy at 0 K is 1004 meV/atom.

---

Entry 4:
Entry from Alexandria: a relaxed structure of La2Tl2F (PBE-GGA).

The space group is P4/mbm (No. 127) and the conventional cell measures 7.148, 7.148 and 5.568 Å, with angles of 90.00, 90.00 and 90.00 degrees. The distinct sites, in fractional coordinates, are La at (0.166, 0.334, 0.000), Tl at (0.152, 0.652, 0.500) and F at (0.000, 0.000, 0.000).

The calculation puts the uncorrected formation energy at -1180 meV/atom.

---

Entry 5:
Entry from Alexandria: a relaxed structure of Ac2AlZn2 (PBE-GGA).

The space group is Immm (No. 71) and the conventional cell measures 4.408, 6.163 and 9.900 Å, with angles of 90.00, 90.00 and 90.00 degrees. The distinct sites, in fractional coordinates, are Ac at (0.000, 0.000, 0.198), Al at (0.000, 0.500, 0.000) and Zn at (0.000, 0.246, 0.500).

The offset from the most stable computed form comes out at 5.6 meV/atom. The value obtained for the formation enthalpy at 0 K is -289 meV/atom.

---

Entry 6:
Entry from Alexandria: a relaxed structure of Tm5HfZn4 (PBE-GGA).

The space group is P4/mmm (No. 123) and the conventional cell measures 3.440, 3.440 and 19.117 Å, with angles of 90.00, 90.00 and 90.00 degrees. The distinct sites, in fractional coordinates, are Tm at (0.000, 0.000, 0.000), Tm at (0.000, 0.000, 0.189), Tm at (0.000, 0.000, 0.384), Hf at (0.500, 0.500, 0.500), Zn at (0.500, 0.500, 0.095) and Zn at (0.500, 0.500, 0.284).

The value obtained for the formation enthalpy at 0 K is -249 meV/atom.

---

| no. | total DFT energy (no corrections) (eV/cell) |
| --- | --- |
| 1 | -18.81 |
| 2 | -39.92 |
| 3 | -60.92 |
| 4 | -44.72 |
| 5 | -31.91 |
| 6 | -39.90 |